First-principles (GGA-PBE) data for an optimized crystal structure of Sm2HoEr12, as listed in Alexandria via LeMat-Bulk.

Lattice parameters (Å, degrees): 6.5979 6.5979 24.4623 96.80 83.20 65.08
Element x y z (fractional)
Er1 0.6689 0.3352 0.4448
Er2 0.3171 0.1829 0.5737
Er3 0.6055 0.3945 0.1915
Er4 0.4970 0.5037 0.6703
Er5 0.0506 0.9519 0.9339
Er6 0.3520 0.1480 0.8649
Er7 0.5037 0.4970 0.3297
Er8 0.9963 0.0030 0.6703
Er9 0.4494 0.5481 0.0661
Er10 0.3352 0.6689 0.5552
Er11 0.6488 0.8512 0.1336
Er12 0.6777 0.8222 0.4279
Er13 0.1480 0.3520 0.1351
Er14 0.0030 0.9963 0.3297
Er15 0.8223 0.6778 0.5721
Er16 0.9519 0.0506 0.0661
Er17 0.8512 0.6488 0.8664
Er18 0.5481 0.4494 0.9339
Er19 0.1055 0.8945 0.1915
Er20 0.1648 0.8311 0.4448
Er21 0.8945 0.1055 0.8085
Er22 0.3945 0.6055 0.8085
Er23 0.8311 0.1648 0.5552
Er24 0.1829 0.3171 0.4263
Ho1 0.9998 0.5002 0.0000
Ho2 0.5002 0.9998 0.0000
Sm1 0.5406 0.9594 0.2790
Sm2 0.4595 0.0405 0.7195
Sm3 0.9594 0.5406 0.7210
Sm4 0.0405 0.4595 0.2805

Summary:
volume: 942.1 Å³ per cell
formation enthalpy at 0 K: 0.108 eV/atom

First-principles (GGA-PBE) data for an optimized crystal structure of TiCuO3, as listed in Alexandria via LeMat-Bulk.

Lattice parameters (Å, degrees): 4.0156 4.0156 3.7789 90.00 90.00 90.00
Each line ends with the local moment (μB).
Element x y z (fractional)
Cu1 0.0000 0.0000 0.5000  0.17
Ti1 0.5000 0.5000 0.5000  -0.02
O1 0.0000 0.5000 0.5000  0.05
O2 0.5000 0.5000 0.0000  0.05
O3 0.5000 0.0000 0.5000  0.05

Summary:
volume: 60.9 Å³ per cell
uncorrected formation energy: -1.803 eV/atom

First-principles (GGA-PBE) data for an optimized crystal structure of La5SiCl5, as listed in Alexandria via LeMat-Bulk.

Lattice parameters (Å, degrees): 5.9045 7.1877 8.3600 106.39 90.00 114.25
Element x y z (fractional)
Cl1 0.3429 0.6857 0.1881
Cl2 0.6555 0.3111 0.3461
Cl3 0.3445 0.6889 0.6539
Cl4 0.0000 0.0000 0.5000
Cl5 0.6571 0.3143 0.8119
Si1 0.0000 0.0000 0.0000
La1 0.8291 0.6581 0.1532
La2 0.5000 0.0000 0.0000
La3 0.8386 0.6773 0.6790
La4 0.1709 0.3419 0.8468
La5 0.1614 0.3227 0.3210

Summary:
volume: 307.6 Å³ per cell
uncorrected formation energy: -1.626 eV/atom

First-principles (GGA-PBE) data for an optimized crystal structure of Tb4Sm6Pu, as listed in Alexandria via LeMat-Bulk.

Lattice parameters (Å, degrees): 3.5632 11.8337 17.5529 90.00 90.00 98.66
Each line ends with the local moment (μB).
Element x y z (fractional)
Sm1 0.9882 0.9763 0.6615  0.02
Sm2 0.7515 0.5030 0.7500  0.07
Sm3 0.2415 0.4829 0.9176  -0.02
Sm4 0.2485 0.4970 0.2500  0.07
Sm5 0.0118 0.0237 0.3385  0.02
Sm6 0.9882 0.9763 0.8385  0.02
Sm7 0.2415 0.4829 0.5824  -0.02
Sm8 0.7585 0.5171 0.4176  -0.02
Sm9 0.5000 0.0000 0.0000  -0.04
Sm10 0.5000 0.0000 0.5000  -0.04
Sm11 0.7585 0.5171 0.0824  -0.02
Sm12 0.0118 0.0237 0.1615  0.02
Tb1 0.1295 0.2591 0.4521  0.01
Tb2 0.1295 0.2591 0.0479  0.01
Tb3 0.6179 0.2359 0.6405  -0.07
Tb4 0.8705 0.7409 0.9521  0.01
Tb5 0.3821 0.7641 0.3595  -0.07
Tb6 0.8705 0.7409 0.5479  0.01
Tb7 0.6179 0.2359 0.8595  -0.07
Tb8 0.3821 0.7641 0.1405  -0.07
Pu1 0.6253 0.2506 0.2500  5.62
Pu2 0.3747 0.7494 0.7500  5.62

Summary:
volume: 731.7 Å³ per cell
formation enthalpy at 0 K: 0.171 eV/atom

First-principles (GGA-PBE) data for an optimized crystal structure of Tl5AgAu2, as listed in Alexandria via LeMat-Bulk.

Lattice parameters (Å, degrees): 3.4994 5.9005 20.7628 90.00 90.00 107.25
Element x y z (fractional)
Tl1 0.6357 0.2715 0.5388
Tl2 0.3643 0.7285 0.4612
Tl3 0.0911 0.1823 0.3868
Tl4 0.5306 0.0612 0.7500
Tl5 0.4694 0.9388 0.2500
Tl6 0.9089 0.8177 0.8868
Tl7 0.9089 0.8177 0.6132
Tl8 0.3643 0.7285 0.0388
Tl9 0.0911 0.1823 0.1132
Tl10 0.6357 0.2715 0.9612
Au1 0.1872 0.3744 0.8431
Au2 0.1872 0.3744 0.6569
Au3 0.8128 0.6256 0.3431
Au4 0.8128 0.6256 0.1569
Ag1 0.8016 0.6032 0.7500
Ag2 0.1984 0.3968 0.2500

Summary:
volume: 409.4 Å³ per cell
formation enthalpy at 0 K: 0.026 eV/atom

First-principles (GGA-PBE) data for an optimized crystal structure of Er2Pd6Pb, as listed in Alexandria via LeMat-Bulk.

Lattice parameters (Å, degrees): 3.4526 7.8937 8.0250 119.46 102.55 90.00
Element x y z (fractional)
Pb1 0.0000 0.0000 0.0000
Er1 0.6656 0.6651 0.3303
Er2 0.3344 0.3349 0.6697
Pd1 0.5000 0.2847 0.0000
Pd2 0.5000 0.7153 0.0000
Pd3 0.8330 0.6161 0.6666
Pd4 0.8330 0.0505 0.6666
Pd5 0.1670 0.9495 0.3334
Pd6 0.1670 0.3839 0.3334

Summary:
volume: 184.4 Å³ per cell
formation enthalpy at 0 K: -0.479 eV/atom

First-principles (GGA-PBE) data for an optimized crystal structure of RbTa2TlTc, as listed in Alexandria via LeMat-Bulk.

Lattice parameters (Å, degrees): 4.9123 4.9123 4.6933 90.00 90.00 90.00
Each line ends with the local moment (μB).
Element x y z (fractional)
Ta1 0.5000 0.0000 0.0000  -0.05
Ta2 0.0000 0.5000 0.0000  -0.05
Tc1 0.0000 0.0000 0.5000  0.85
Tl1 0.5000 0.5000 0.5000  0.01
Rb1 0.0000 0.0000 0.0000  0.00

Summary:
volume: 113.3 Å³ per cell
formation enthalpy at 0 K: 3.059 eV/atom

First-principles (GGA-PBE) data for an optimized crystal structure of DyPa3Ge4, as listed in Alexandria via LeMat-Bulk.

Lattice parameters (Å, degrees): 3.0847 8.1540 8.1540 81.79 67.79 67.79
Each line ends with the local moment (μB).
Element x y z (fractional)
Ge1 0.0000 0.2482 0.2519  -0.01
Ge2 0.9999 0.7520 0.7481  -0.01
Ge3 0.5038 0.2482 0.7481  -0.01
Ge4 0.4961 0.7520 0.2518  -0.01
Pa1 0.5001 0.0001 0.5000  0.25
Pa2 0.9998 0.5001 0.5000  0.29
Pa3 0.9998 0.0001 0.0000  0.29
Dy1 0.5001 0.5001 0.0000  -0.02

Summary:
volume: 175.8 Å³ per cell
formation enthalpy at 0 K: -0.473 eV/atom

First-principles (GGA-PBE) data for an optimized crystal structure of TbErTeO6, as listed in Alexandria via LeMat-Bulk.

Lattice parameters (Å, degrees): 5.5222 5.5222 9.5466 90.00 90.00 120.00
Element x y z (fractional)
O1 0.6686 0.0400 0.3646
O2 0.6286 0.6686 0.6354
O3 0.3714 0.3314 0.3646
O4 0.3714 0.0400 0.1354
O5 0.0400 0.3714 0.6354
O6 0.3314 0.9600 0.6354
O7 0.6686 0.6286 0.1354
O8 0.3314 0.3714 0.8646
O9 0.9600 0.3314 0.1354
O10 0.6286 0.9600 0.8646
O11 0.0400 0.6686 0.8646
O12 0.9600 0.6286 0.3646
Er1 0.6667 0.3333 0.7500
Er2 0.3333 0.6667 0.2500
Te1 0.6667 0.3333 0.2500
Te2 0.3333 0.6667 0.7500
Tb1 0.0000 0.0000 0.5000
Tb2 0.0000 0.0000 0.0000

Summary:
volume: 252.1 Å³ per cell
uncorrected formation energy: -2.476 eV/atom

First-principles (GGA-PBE) data for an optimized crystal structure of ZrCd5Ag6, as listed in Alexandria via LeMat-Bulk.

Lattice parameters (Å, degrees): 4.6021 7.4534 7.2375 90.00 71.01 90.00
Element x y z (fractional)
Cd1 0.3343 0.5000 0.3318
Cd2 0.3332 0.0000 0.3320
Cd3 0.6668 0.0000 0.6680
Cd4 0.6657 0.5000 0.6682
Cd5 0.0000 0.5000 0.0000
Ag1 0.5000 0.7464 0.0000
Ag2 0.1663 0.2513 0.6680
Ag3 0.1663 0.7487 0.6680
Ag4 0.5000 0.2536 0.0000
Ag5 0.8337 0.7487 0.3320
Ag6 0.8337 0.2513 0.3320
Zr1 0.0000 0.0000 0.0000

Summary:
volume: 234.8 Å³ per cell
formation enthalpy at 0 K: -0.024 eV/atom

First-principles (GGA-PBE) data for an optimized crystal structure of Pr2NdPb9, as listed in Alexandria via LeMat-Bulk.

Lattice parameters (Å, degrees): 4.9427 4.9427 14.8218 90.00 90.00 90.00
Element x y z (fractional)
Pb1 0.5000 0.5000 0.3330
Pb2 0.5000 0.0000 0.1659
Pb3 0.0000 0.5000 0.8341
Pb4 0.0000 0.5000 0.5000
Pb5 0.5000 0.5000 0.0000
Pb6 0.5000 0.5000 0.6670
Pb7 0.5000 0.0000 0.5000
Pb8 0.5000 0.0000 0.8341
Pb9 0.0000 0.5000 0.1659
Nd1 0.0000 0.0000 0.0000
Pr1 0.0000 0.0000 0.6671
Pr2 0.0000 0.0000 0.3329

Summary:
volume: 362.1 Å³ per cell
formation enthalpy at 0 K: -0.382 eV/atom

First-principles (GGA-PBE) data for an optimized crystal structure of Zn2WBr, as listed in Alexandria via LeMat-Bulk.

Lattice parameters (Å, degrees): 2.9368 4.6094 5.0644 90.00 90.00 90.00
Element x y z (fractional)
Br1 0.5000 0.0000 0.5000
Zn1 0.0000 0.0000 0.0000
Zn2 0.5000 0.5000 0.0000
W1 0.0000 0.5000 0.5000

Summary:
volume: 68.6 Å³ per cell
uncorrected formation energy: 0.802 eV/atom

First-principles (GGA-PBE) data for an optimized crystal structure of ZnCd, as listed in Alexandria via LeMat-Bulk.

Lattice parameters (Å, degrees): 3.4479 7.9401 2.8173 90.00 90.00 90.00
Element x y z (fractional)
Zn1 0.0000 0.0970 0.5000
Zn2 0.5000 0.9030 0.0000
Cd1 0.0000 0.6490 0.5000
Cd2 0.5000 0.3510 0.0000

Summary:
volume: 77.1 Å³ per cell
formation enthalpy at 0 K: 0.052 eV/atom

First-principles (GGA-PBE) data for an optimized crystal structure of Ti2AgTePt, as listed in Alexandria via LeMat-Bulk.

Lattice parameters (Å, degrees): 4.8517 5.3470 4.8517 90.00 90.00 90.00
Each line ends with the local moment (μB).
Element x y z (fractional)
Pt1 0.0000 0.0000 0.0000  0.02
Te1 0.0000 0.5000 0.0000  -0.02
Ag1 0.5000 0.5000 0.5000  0.00
Ti1 0.0000 0.0000 0.5000  0.55
Ti2 0.5000 0.0000 0.0000  0.95

Summary:
volume: 125.9 Å³ per cell
uncorrected formation energy: 0.500 eV/atom

First-principles (GGA-PBE) data for an optimized crystal structure of SmAl2Si, as listed in Alexandria via LeMat-Bulk.

Lattice parameters (Å, degrees): 4.3914 4.2277 4.2277 90.00 90.00 90.00
Element x y z (fractional)
Al1 0.0000 0.0000 0.5000
Al2 0.0000 0.5000 0.0000
Sm1 0.5000 0.0000 0.0000
Si1 0.5000 0.5000 0.5000

Summary:
volume: 78.5 Å³ per cell
uncorrected formation energy: -0.345 eV/atom

First-principles (GGA-PBE) data for an optimized crystal structure of Zr2PbAu2, as listed in Alexandria via LeMat-Bulk.

Lattice parameters (Å, degrees): 4.5321 4.5321 6.7574 70.41 70.41 90.00
Element x y z (fractional)
Au1 0.3895 0.3895 0.2210
Au2 0.6105 0.6105 0.7790
Pb1 0.0000 0.0000 0.0000
Zr1 0.2500 0.7500 0.5000
Zr2 0.7500 0.2500 0.5000

Summary:
volume: 122.2 Å³ per cell
formation enthalpy at 0 K: -0.142 eV/atom

First-principles (GGA-PBE) data for an optimized crystal structure of Pr2InSn2, as listed in Alexandria via LeMat-Bulk.

Lattice parameters (Å, degrees): 4.6324 7.9887 7.9887 90.00 90.00 90.00
Element x y z (fractional)
In1 0.0000 0.5000 0.5000
In2 0.0000 0.0000 0.0000
Pr1 0.5000 0.8243 0.3243
Pr2 0.5000 0.6757 0.8243
Pr3 0.5000 0.1757 0.6757
Pr4 0.5000 0.3243 0.1757
Sn1 0.0000 0.6286 0.1286
Sn2 0.0000 0.1286 0.3714
Sn3 0.0000 0.8714 0.6286
Sn4 0.0000 0.3714 0.8714

Summary:
volume: 295.6 Å³ per cell
formation enthalpy at 0 K: -0.641 eV/atom

First-principles (GGA-PBE) data for an optimized crystal structure of CsTlZn2F8, as listed in Alexandria via LeMat-Bulk.

Lattice parameters (Å, degrees): 5.3738 5.3738 9.6420 73.82 73.82 60.00
Element x y z (fractional)
Tl1 0.5000 0.5000 0.5000
Zn1 0.2453 0.2453 0.2642
Zn2 0.7547 0.7547 0.7358
F1 0.6869 0.6869 0.9394
F2 0.2391 0.8719 0.3456
F3 0.4566 0.1281 0.6544
F4 0.5434 0.2391 0.3456
F5 0.7609 0.4566 0.6544
F6 0.1281 0.7609 0.6544
F7 0.3131 0.3131 0.0606
F8 0.8719 0.5434 0.3456
Cs1 0.0000 0.0000 0.0000

Summary:
volume: 228.3 Å³ per cell
uncorrected formation energy: -2.179 eV/atom

First-principles (GGA-PBE) data for an optimized crystal structure of AcTb2Al, as listed in Alexandria via LeMat-Bulk.

Lattice parameters (Å, degrees): 3.6150 3.6150 11.8495 81.23 81.23 60.00
Element x y z (fractional)
Ac1 0.0000 0.0000 0.0000
Tb1 0.1038 0.1038 0.6886
Tb2 0.8962 0.8962 0.3114
Al1 0.5000 0.5000 0.5000

Summary:
volume: 132.0 Å³ per cell
formation enthalpy at 0 K: 0.092 eV/atom

First-principles (GGA-PBE) data for an optimized crystal structure of Sr3SnN, as listed in Alexandria via LeMat-Bulk.

Lattice parameters (Å, degrees): 25.8451 6.7937 10.4239 90.00 160.48 90.00
Element x y z (fractional)
Sr1 0.1954 0.4526 0.5028
Sr2 0.6473 0.5612 0.7447
Sr3 0.3527 0.4388 0.2553
Sr4 0.5769 0.1484 0.3793
Sr5 0.8046 0.5474 0.4972
Sr6 0.8527 0.0612 0.7553
Sr7 0.3046 0.9526 0.9972
Sr8 0.4231 0.8516 0.6207
Sr9 0.9231 0.6484 0.1207
Sr10 0.6954 0.0474 0.0028
Sr11 0.1473 0.9388 0.2447
Sr12 0.0769 0.3516 0.8793
Sn1 0.0373 0.8248 0.6750
Sn2 0.9627 0.1752 0.3250
Sn3 0.4627 0.3248 0.8250
Sn4 0.5373 0.6752 0.1750
N1 0.9878 0.2613 0.8965
N2 0.0122 0.7387 0.1035
N3 0.4878 0.2387 0.3965
N4 0.5122 0.7613 0.6035

Summary:
volume: 611.6 Å³ per cell
uncorrected formation energy: -0.568 eV/atom